Record 1
# BeZnAu2S

An optimized crystal structure of BeZnAu2S (PBE, the Alexandria database).

Cell lengths 3.2758, 4.5290, 5.8076 Å; angles 105.43, 94.26, 92.06 degrees
Fractional coordinates of all 5 atoms:
S 0.0420 0.9565 0.1527
Zn 0.7210 0.4484 0.0973
Au 0.6050 0.5827 0.5648
Au 0.1708 0.1393 0.7448
Be 0.5733 0.0138 0.3850

Calculated values
Distance to the lowest polymorph of the same formula   104 meV/atom
Energy relative to the elements, uncorrected   -15.4 kJ per mole of atoms



Record 2
# BeZnAu2S

An optimized crystal structure of BeZnAu2S (PBE, the Alexandria database).

Cell lengths 5.8057, 3.3113, 10.3444 Å; angles 90.00, 117.83, 90.00 degrees
Fractional coordinates of all 10 atoms:
Au 0.8393 0.5000 0.0768
Au 0.5116 0.0000 0.1635
Au 0.5116 0.5000 0.6635
Au 0.8393 0.0000 0.5768
Be 0.9212 0.5000 0.8709
Be 0.9212 0.0000 0.3709
S 0.1363 0.5000 0.3829
S 0.1363 0.0000 0.8829
Zn 0.5360 0.0000 0.8667
Zn 0.5360 0.5000 0.3667

Calculated values
Distance to the lowest polymorph of the same formula   43 meV/atom
Energy relative to the elements, uncorrected   -21.2 kJ per mole of atoms



Record 3
# BeZnAu2S

An optimized crystal structure of BeZnAu2S (PBE, the Alexandria database).

Cell lengths 3.3322, 3.3322, 26.8271 Å; angles 90.00, 90.00, 120.00 degrees
Fractional coordinates of all 15 atoms:
Zn 0.0000 0.0000 0.2787
Zn 0.6667 0.3333 0.6121
Zn 0.3333 0.6667 0.9454
Be 0.0000 0.0000 0.0128
Be 0.3333 0.6667 0.6795
Be 0.6667 0.3333 0.3462
S 0.6667 0.3333 0.7049
S 0.3333 0.6667 0.0383
S 0.0000 0.0000 0.3716
Au 0.0000 0.0000 0.8817
Au 0.0000 0.0000 0.4710
Au 0.3333 0.6667 0.5484
Au 0.3333 0.6667 0.1377
Au 0.6667 0.3333 0.8044
Au 0.6667 0.3333 0.2150

Calculated values
Distance to the lowest polymorph of the same formula   70 meV/atom
Energy relative to the elements, uncorrected   -18.7 kJ per mole of atoms



Record 4
# BeZnAu2S

An optimized crystal structure of BeZnAu2S (PBE, the Alexandria database).

Cell lengths 3.3146, 5.5713, 5.5344 Å; angles 61.87, 82.08, 80.05 degrees
Fractional coordinates of all 5 atoms:
Be 0.1487 0.3459 0.7154
Au 0.1226 0.9400 0.6630
Au 0.2822 0.5239 0.2488
Zn 0.6972 0.8449 0.3387
S 0.6095 0.2898 0.9489

Calculated values
Distance to the lowest polymorph of the same formula   70 meV/atom
Energy relative to the elements, uncorrected   -18.7 kJ per mole of atoms



Record 5
# BeZnAu2S

An optimized crystal structure of BeZnAu2S (PBE, the Alexandria database).

Cell lengths 5.4866, 3.3743, 11.5446 Å; angles 90.00, 111.84, 90.00 degrees
Fractional coordinates of all 10 atoms:
S 0.2975 0.5000 0.8049
S 0.2975 0.0000 0.3049
Au 0.7250 0.5000 0.0501
Au 0.1740 0.5000 0.0058
Au 0.7250 0.0000 0.5501
Au 0.1740 0.0000 0.5058
Be 0.1373 0.5000 0.2027
Be 0.1373 0.0000 0.7027
Zn 0.5256 0.5000 0.6624
Zn 0.5256 0.0000 0.1624

Calculated values
Distance to the lowest polymorph of the same formula   62 meV/atom
Energy relative to the elements, uncorrected   -19.4 kJ per mole of atoms



Record 6
# BeZnAu2S

An optimized crystal structure of BeZnAu2S (PBE, the Alexandria database).

Cell lengths 2.8078, 3.3479, 18.5279 Å; angles 90.00, 90.00, 90.00 degrees
Fractional coordinates of all 10 atoms:
Au 0.0000 0.0000 0.6055
Au 0.0000 0.0000 0.9993
Au 0.5000 0.5000 0.4993
Au 0.5000 0.5000 0.1055
Zn 0.5000 0.5000 0.9080
Zn 0.0000 0.0000 0.4080
Be 0.0000 0.5000 0.8012
Be 0.5000 0.0000 0.3012
S 0.0000 0.0000 0.7409
S 0.5000 0.5000 0.2409

Calculated values
Distance to the lowest polymorph of the same formula   231 meV/atom
Energy relative to the elements, uncorrected   -3.2 kJ per mole of atoms



Record 7
# BeZnAu2S

An optimized crystal structure of BeZnAu2S (PBE, the Alexandria database).

Cell lengths 3.7346, 3.1934, 7.5394 Å; angles 90.00, 102.70, 90.00 degrees
Fractional coordinates of all 5 atoms:
Au 0.4731 0.0000 0.8024
Au 0.0810 0.5000 0.0230
Zn 0.8937 0.5000 0.6392
S 0.7557 0.5000 0.3195
Be 0.6271 0.0000 0.1605

Calculated values
Distance to the lowest polymorph of the same formula   65 meV/atom
Energy relative to the elements, uncorrected   -19.1 kJ per mole of atoms



Record 8
# BeZnAu2S

An optimized crystal structure of BeZnAu2S (PBE, the Alexandria database).

Cell lengths 3.1928, 5.5532, 5.7112 Å; angles 115.81, 89.96, 106.71 degrees
Fractional coordinates of all 5 atoms:
S 0.8208 0.1260 0.8995
Be 0.4266 0.3373 0.8629
Au 0.5397 0.5647 0.6009
Au 0.1079 0.6990 0.2159
Zn 0.8244 0.1323 0.3356

Calculated values
Distance to the lowest polymorph of the same formula   58 meV/atom
Energy relative to the elements, uncorrected   -19.8 kJ per mole of atoms



Record 9
# BeZnAu2S

An optimized crystal structure of BeZnAu2S (PBE, the Alexandria database).

Cell lengths 3.2267, 3.3198, 9.1452 Å; angles 94.80, 90.01, 118.98 degrees
Fractional coordinates of all 5 atoms:
Be 0.4452 0.5915 0.7622
Au 0.9903 0.6854 0.9800
Au 0.7070 0.1206 0.2222
Zn 0.0641 0.8344 0.4163
S 0.1035 0.9090 0.6748

Calculated values
Distance to the lowest polymorph of the same formula   2 meV/atom
Energy relative to the elements, uncorrected   -25.2 kJ per mole of atoms



Record 10
# BeZnAu2S

An optimized crystal structure of BeZnAu2S (PBE, the Alexandria database).

Cell lengths 3.6842, 3.3634, 14.9876 Å; angles 90.00, 90.00, 90.00 degrees
Fractional coordinates of all 10 atoms:
Zn 0.5000 0.0000 0.3983
Zn 0.0000 0.5000 0.8983
Be 0.0000 0.5000 0.5750
Be 0.5000 0.0000 0.0750
Au 0.5000 0.5000 0.2689
Au 0.5000 0.5000 0.6744
Au 0.0000 0.0000 0.1744
Au 0.0000 0.0000 0.7689
S 0.0000 0.0000 0.4966
S 0.5000 0.5000 0.9966

Calculated values
Distance to the lowest polymorph of the same formula   16 meV/atom
Energy relative to the elements, uncorrected   -23.9 kJ per mole of atoms



Record 11
# BeZn2AuS

An optimized crystal structure of BeZn2AuS (PBE, the Alexandria database).

Cell lengths 4.9015, 3.7655, 4.9015 Å; angles 90.00, 90.00, 90.00 degrees
Fractional coordinates of all 5 atoms:
Zn 0.0000 0.0000 0.5000
Zn 0.5000 0.0000 0.0000
S 0.0000 0.5000 0.0000
Be 0.0000 0.0000 0.0000
Au 0.5000 0.5000 0.5000

Calculated values
Energy relative to the elements, uncorrected   34.4 kJ per mole of atoms



Record 12
# BeZnAu2S

An optimized crystal structure of BeZnAu2S (PBE, the Alexandria database).

Cell lengths 3.2602, 3.2647, 9.2317 Å; angles 90.07, 90.06, 119.99 degrees
Fractional coordinates of all 5 atoms:
Be 0.1412 0.4293 0.3506
S 0.8075 0.7623 0.2757
Au 0.8046 0.7599 0.9961
Au 0.4701 0.0919 0.7609
Zn 0.8026 0.7576 0.5611

Calculated values
Distance to the lowest polymorph of the same formula   103 meV/atom
Energy relative to the elements, uncorrected   -15.5 kJ per mole of atoms



Record 13
# BeZnAu2S

An optimized crystal structure of BeZnAu2S (PBE, the Alexandria database).

Cell lengths 7.7208, 3.5546, 9.8422 Å; angles 90.00, 129.45, 90.00 degrees
Fractional coordinates of all 10 atoms:
Be 0.9335 0.5000 0.7072
Be 0.9335 0.0000 0.2072
Au 0.0707 0.5000 0.4242
Au 0.0835 0.5000 0.1462
Au 0.0835 0.0000 0.6462
Au 0.0707 0.0000 0.9242
S 0.6033 0.5000 0.5691
S 0.6033 0.0000 0.0691
Zn 0.3645 0.0000 0.4345
Zn 0.3645 0.5000 0.9345

Calculated values
Distance to the lowest polymorph of the same formula   90 meV/atom
Energy relative to the elements, uncorrected   -16.7 kJ per mole of atoms



Record 14
# BeZnAu2S

An optimized crystal structure of BeZnAu2S (PBE, the Alexandria database).

Cell lengths 3.6406, 5.0781, 5.6173 Å; angles 105.31, 104.26, 97.61 degrees
Fractional coordinates of all 5 atoms:
Au 0.0661 0.4590 0.2360
Au 0.7853 0.2112 0.5498
Be 0.6856 0.6463 0.4809
Zn 0.4370 0.8195 0.0847
S 0.8565 0.9195 0.8448

Calculated values
Distance to the lowest polymorph of the same formula   118 meV/atom
Energy relative to the elements, uncorrected   -14.0 kJ per mole of atoms



Record 15
# BeZnAu2S

An optimized crystal structure of BeZnAu2S (PBE, the Alexandria database).

Cell lengths 9.4504, 3.2420, 5.8726 Å; angles 90.00, 107.92, 90.00 degrees
Fractional coordinates of all 10 atoms:
Zn 0.5855 0.5000 0.8235
Zn 0.5855 0.0000 0.3235
Au 0.0187 0.0000 0.8792
Au 0.7783 0.0000 0.0927
Au 0.7783 0.5000 0.5927
Au 0.0187 0.5000 0.3792
S 0.3247 0.5000 0.6943
S 0.3247 0.0000 0.1943
Be 0.2373 0.0000 0.4784
Be 0.2373 0.5000 0.9784

Calculated values
Distance to the lowest polymorph of the same formula   0 meV/atom
Energy relative to the elements, uncorrected   -25.4 kJ per mole of atoms



Record 16
# Be2SbAu

An optimized crystal structure of Be2SbAu (PBE, the Alexandria database).

Cell lengths 4.7051, 4.7051, 4.7051 Å; angles 127.97, 127.97, 76.68 degrees
Fractional coordinates of all 4 atoms:
Be 0.0000 0.0000 0.0000
Be 0.5000 0.5000 0.0000
Sb 0.2500 0.7500 0.5000
Au 0.7500 0.2500 0.5000

Calculated values
Energy relative to the elements, uncorrected   42.8 kJ per mole of atoms



Record 17
# BeSbAu2

An optimized crystal structure of BeSbAu2 (PBE, the Alexandria database).

Cell lengths 6.8825, 6.8825, 6.8825 Å; angles 30.92, 30.92, 30.92 degrees
Fractional coordinates of all 4 atoms:
Au 0.9950 0.9950 0.9950
Au 0.2314 0.2314 0.2314
Sb 0.7601 0.7601 0.7601
Be 0.5136 0.5136 0.5136

Calculated values
Distance to the lowest polymorph of the same formula   155 meV/atom
Energy relative to the elements, uncorrected   13.5 kJ per mole of atoms



Record 18
# Be2SbAu

An optimized crystal structure of Be2SbAu (PBE, the Alexandria database).

Cell lengths 4.6672, 4.6672, 3.0000 Å; angles 90.00, 90.00, 105.81 degrees
Fractional coordinates of all 4 atoms:
Au 0.0000 0.5000 0.5000
Be 0.0000 0.0000 0.0000
Be 0.5000 0.5000 0.0000
Sb 0.5000 0.0000 0.5000

Calculated values
Energy relative to the elements, uncorrected   42.6 kJ per mole of atoms



Record 19
# BeSbAu2

An optimized crystal structure of BeSbAu2 (PBE, the Alexandria database).

Cell lengths 3.7242, 4.0409, 5.2740 Å; angles 72.39, 90.00, 90.00 degrees
Fractional coordinates of all 4 atoms:
Au 0.0000 0.4180 0.4578
Au 0.0000 0.0820 0.0422
Sb 0.5000 0.7500 0.7500
Be 0.5000 0.2500 0.2500

Calculated values
Distance to the lowest polymorph of the same formula   127 meV/atom
Energy relative to the elements, uncorrected   10.7 kJ per mole of atoms



Record 20
# BeSbAu2

An optimized crystal structure of BeSbAu2 (PBE, the Alexandria database).

Cell lengths 4.4324, 4.4324, 8.8148 Å; angles 75.44, 75.44, 90.00 degrees
Fractional coordinates of all 8 atoms:
Be 0.5000 0.5000 0.0000
Be 0.2500 0.7500 0.5000
Au 0.1762 0.6250 0.2500
Au 0.3750 0.4262 0.7500
Au 0.8750 0.8238 0.7500
Au 0.5738 0.1250 0.2500
Sb 0.0000 0.0000 0.0000
Sb 0.7500 0.2500 0.5000

Calculated values
Distance to the lowest polymorph of the same formula   169 meV/atom
Energy relative to the elements, uncorrected   14.9 kJ per mole of atoms